Version a
First-principles (GGA-PBEsol) data for a geometry-optimized RbTe2S2 structure, as listed in the Alexandria database.

Symmetry = No. 127
Magnetic moment = 0.00 μB/f.u.

a b c (Å): 4.210 8.846 8.846
angles (deg): 90.00 90.00 90.00
Positions (direct):
Te (0.500, 0.711, 0.789)
Te (0.500, 0.289, 0.211)
Te (0.500, 0.211, 0.711)
Te (0.500, 0.789, 0.289)
S (0.000, 0.319, 0.819)
S (0.000, 0.819, 0.681)
S (0.000, 0.681, 0.181)
S (0.000, 0.181, 0.319)
Rb (0.000, 0.000, 0.000)
Rb (0.000, 0.500, 0.500)


Version b
First-principles (GGA-PBEsol) data for a geometry-optimized RbTe2S2 structure, as listed in the Alexandria database.

Symmetry = No. 139
Magnetic moment = 0.00 μB/f.u.

a b c (Å): 5.375 5.375 6.934
angles (deg): 112.81 112.81 90.00
Positions (direct):
Te (0.299, 0.299, 0.598)
Te (0.701, 0.701, 0.402)
S (0.750, 0.250, 0.500)
S (0.250, 0.750, 0.500)
Rb (0.000, 0.000, 0.000)


Relative energy table, unit eV/atom: version a 0.059; version b 0.000


Version a
First-principles (GGA-PBEsol) data for a geometry-optimized RbTl2S2 structure, as listed in the Alexandria database.

Symmetry = No. 139
Magnetic moment = 0.00 μB/f.u.

a b c (Å): 5.280 5.280 6.250
angles (deg): 114.99 114.99 90.00
Positions (direct):
S (0.250, 0.750, 0.500)
S (0.750, 0.250, 0.500)
Tl (0.651, 0.651, 0.301)
Tl (0.349, 0.349, 0.699)
Rb (0.000, 0.000, 0.000)


Version b
First-principles (GGA-PBEsol) data for a geometry-optimized RbTl2S2 structure, as listed in the Alexandria database.

Symmetry = No. 139
Magnetic moment = 0.00 μB/f.u.

a b c (Å): 4.522 4.522 7.472
angles (deg): 107.61 107.61 90.00
Positions (direct):
Rb (0.000, 0.000, 0.000)
S (0.422, 0.422, 0.843)
S (0.578, 0.578, 0.157)
Tl (0.750, 0.250, 0.500)
Tl (0.250, 0.750, 0.500)


Relative energy table, unit eV/atom: version a 0.000; version b 0.039


Version a
First-principles (GGA-PBEsol) data for a geometry-optimized RbW3S structure, as listed in the Alexandria database.

Symmetry = No. 221
Magnetic moment = 0.00 μB/f.u.

a b c (Å): 4.570 4.570 4.570
angles (deg): 90.00 90.00 90.00
Positions (direct):
W (0.000, 0.500, 0.000)
W (0.500, 0.000, 0.000)
W (0.000, 0.000, 0.500)
Rb (0.500, 0.500, 0.500)
S (0.000, 0.000, 0.000)


Version b
First-principles (GGA-PBEsol) data for a geometry-optimized RbW3S structure, as listed in the Alexandria database.

Symmetry = No. 221
Magnetic moment = 0.00 μB/f.u.

a b c (Å): 4.670 4.670 4.670
angles (deg): 90.00 90.00 90.00
Positions (direct):
W (0.000, 0.000, 0.500)
W (0.500, 0.000, 0.000)
W (0.000, 0.500, 0.000)
Rb (0.000, 0.000, 0.000)
S (0.500, 0.500, 0.500)


Relative energy table, unit eV/atom: version a 0.000; version b 2.554


Version a
First-principles (GGA-PBEsol) data for a geometry-optimized RbZrS3 structure, as listed in the Alexandria database.

Symmetry = No. 221
Magnetic moment = 0.56 μB/f.u.

a b c (Å): 5.089 5.089 5.089
angles (deg): 90.00 90.00 90.00
Last column: magnetic moment on the atom in μB.
Positions (direct):
S (0.000, 0.500, 0.000)  -0.16
S (0.000, 0.000, 0.500)  -0.16
S (0.500, 0.000, 0.000)  -0.16
Zr (0.500, 0.500, 0.500)  0.91
Rb (0.000, 0.000, 0.000)  -0.05


Version b
First-principles (GGA-PBEsol) data for a geometry-optimized RbZrS3 structure, as listed in the Alexandria database.

Symmetry = No. 221
Magnetic moment = 0.00 μB/f.u.

a b c (Å): 5.009 5.009 5.009
angles (deg): 90.00 90.00 90.00
Positions (direct):
S (0.500, 0.000, 0.000)
S (0.000, 0.000, 0.500)
S (0.000, 0.500, 0.000)
Zr (0.000, 0.000, 0.000)
Rb (0.500, 0.500, 0.500)


Relative energy table, unit eV/atom: version a 2.381; version b 0.000